[1]
The following is a DFT calculation (GGA-PBE) of crystalline Ho7SnRu4 at its relaxed geometry.

```
Ho7SnRu4
1.0
6.732 -2.746 0.000
6.732 2.746 0.000
-5.645 0.000 7.769
Ho Sn Ru
7 1 4
Direct
0.000 0.000 0.000
0.181 0.181 0.633
0.287 0.287 0.122
0.425 0.425 0.626
0.575 0.575 0.374
0.713 0.713 0.878
0.819 0.819 0.367
0.500 0.500 0.000
0.066 0.066 0.776
0.198 0.198 0.351
0.802 0.802 0.649
0.934 0.934 0.224
```


[2]
The following is a DFT calculation (GGA-PBE) of crystalline CuAsH3 at its relaxed geometry.

```
CuAsH3
1.0
3.689 0.000 0.000
0.000 3.689 0.000
0.000 0.000 3.689
Cu As H
1 1 3
Direct
0.000 0.000 0.000
0.500 0.500 0.500
0.000 0.500 0.500
0.500 0.000 0.500
0.500 0.500 0.000
```

Energy above the lowest structure with this stoichiometry, kJ/mol of formula units: 32


[3]
The following is a DFT calculation (GGA-PBE) of crystalline PmCu9Ag2 at its relaxed geometry.

```
PmCu9Ag2
1.0
2.514 1.452 8.042
-2.514 1.452 8.042
0.000 -2.903 8.042
Pm Cu Ag
1 9 2
Direct
0.000 0.000 0.000
0.082 0.586 0.586
0.333 0.333 0.333
0.414 0.414 0.918
0.414 0.918 0.414
0.500 0.500 0.500
0.586 0.082 0.586
0.586 0.586 0.082
0.667 0.667 0.667
0.918 0.414 0.414
0.145 0.145 0.145
0.855 0.855 0.855
```


[4]
The following is a DFT calculation (GGA-PBE) of crystalline Pm8SiRu2 at its relaxed geometry.

```
Pm8SiRu2
1.0
8.954 -2.506 0.000
8.954 2.506 0.000
-2.211 0.000 6.745
Pm Si Ru
8 1 2
Direct
0.035 0.035 0.281
0.201 0.201 0.814
0.329 0.329 0.538
0.405 0.405 0.048
0.595 0.595 0.952
0.671 0.671 0.462
0.799 0.799 0.186
0.965 0.965 0.719
0.500 0.500 0.500
0.188 0.188 0.197
0.812 0.812 0.803
```

Formation energy (no corrections), eV per atom: -0.21


[5]
The following is a DFT calculation (GGA-PBE) of crystalline Na2TaReBr at its relaxed geometry.

```
Na2TaReBr
1.0
6.138 0.000 0.000
0.000 6.138 0.000
0.000 0.000 4.923
Na Ta Re Br
2 1 1 1
Direct
0.000 0.500 0.000
0.500 0.000 0.000
0.000 0.000 0.000
0.500 0.500 0.500
0.000 0.000 0.500
```

Formation energy (no corrections), eV per atom: 2.01


[6]
The following is a DFT calculation (GGA-PBE) of crystalline Tb2Pr3In7 at its relaxed geometry.

```
Tb2Pr3In7
1.0
2.627 -12.523 0.000
2.627 12.523 0.000
0.000 0.000 5.511
Tb Pr In
2 3 7
Direct
0.143 0.857 0.000
0.857 0.143 0.000
0.340 0.660 0.500
0.500 0.500 0.500
0.660 0.340 0.500
0.000 0.000 0.000
0.080 0.920 0.500
0.272 0.728 0.000
0.425 0.575 0.000
0.575 0.425 0.000
0.728 0.272 0.000
0.920 0.080 0.500
```


[7]
The following is a DFT calculation (GGA-PBE) of crystalline Pm2UAl2Ru5 at its relaxed geometry.

```
Pm2UAl2Ru5
1.0
10.277 0.000 0.000
0.000 10.277 0.000
0.000 0.000 3.396
Pm U Al Ru
4 2 4 10
Direct
0.170 0.330 0.000
0.330 0.830 0.000
0.670 0.170 0.000
0.830 0.670 0.000
0.000 0.000 0.000
0.500 0.500 0.000
0.127 0.627 0.000
0.373 0.127 0.000
0.627 0.873 0.000
0.873 0.373 0.000
0.000 0.500 0.500
0.067 0.801 0.500
0.199 0.067 0.500
0.301 0.567 0.500
0.433 0.301 0.500
0.500 0.000 0.500
0.567 0.699 0.500
0.699 0.433 0.500
0.801 0.933 0.500
0.933 0.199 0.500
```


[8]
The following is a DFT calculation (GGA-PBE) of crystalline AlTcTe at its relaxed geometry.

```
AlTcTe
1.0
3.168 0.000 0.000
0.000 3.168 0.000
0.000 0.000 11.895
Al Tc Te
2 2 2
Direct
0.000 0.000 0.000
0.500 0.500 0.500
0.000 0.000 0.378
0.500 0.500 0.878
0.000 0.000 0.743
0.500 0.500 0.243
```

Energy above the lowest structure with this stoichiometry, kJ/mol of formula units: 0
Formation energy (no corrections), eV per atom: 0.04


[9]
The following is a DFT calculation (GGA-PBE) of crystalline TaMnPt2 at its relaxed geometry.

```
TaMnPt2
1.0
3.352 0.000 0.000
0.000 3.352 0.000
0.000 0.000 5.628
Ta Mn Pt
1 1 2
Direct
0.000 0.000 0.000
0.500 0.500 0.270
0.000 0.000 0.482
0.500 0.500 0.766
```


[10]
The following is a DFT calculation (GGA-PBE) of crystalline Ba3H3N at its relaxed geometry.

```
Ba3H3N
1.0
7.209 -3.889 0.000
7.209 3.889 0.000
-5.001 0.000 6.864
Ba H N
6 6 2
Direct
0.000 0.500 0.217
0.000 0.500 0.783
0.006 0.006 0.256
0.500 0.000 0.217
0.500 0.000 0.783
0.994 0.994 0.744
0.213 0.787 0.000
0.213 0.787 0.500
0.249 0.249 0.500
0.751 0.751 0.500
0.787 0.213 0.000
0.787 0.213 0.500
0.213 0.213 0.963
0.787 0.787 0.037
```


[11]
The following is a DFT calculation (GGA-PBE) of crystalline Sc2Al2Re at its relaxed geometry.

```
Sc2Al2Re
1.0
6.863 0.000 0.000
0.000 6.863 0.000
0.000 0.000 3.885
Sc Al Re
4 4 2
Direct
0.177 0.323 0.000
0.323 0.823 0.000
0.677 0.177 0.000
0.823 0.677 0.000
0.133 0.633 0.500
0.367 0.133 0.500
0.633 0.867 0.500
0.867 0.367 0.500
0.000 0.000 0.500
0.500 0.500 0.500
```

Energy above the lowest structure with this stoichiometry, kJ/mol of formula units: 0


What electronic total energy values result from the calculations? In sequence: -6.224 -2.991 -4.021 -5.845 -3.711 -3.807 -7.920 -5.706 -8.689 -3.838 -6.696 eV/atom.